1.
K2Pb | PBE | optimized geometry

a = 6.3401 Å, b = 6.3401 Å, c = 7.5405 Å
α = 90.00°, β = 90.00°, γ = 120.00°
Space group P6_3/mmc (No. 194)
Inequivalent atoms, fractional coordinates:
1 K 0.0000 0.0000 0.0000 [2 per cell]
2 K 0.3333 0.6667 0.2500 [2 per cell]
3 Pb 0.3333 0.6667 0.7500 [2 per cell]

Computed properties:
* electronic total energy: -1.95 eV per atom
* size of the total moment: 0.00 μB per atom
* E_form: 0.02 eV/atom
* DOS at the Fermi energy: 5.8 states/eV per cell
* density: 3.61 g/cm3

***

2.
Pr3Ho4Sc | PBE | optimized geometry

a = 11.387 Å, b = 7.281 Å, c = 6.251 Å
α = 90.00°, β = 90.00°, γ = 90.00°
Space group Pmn2_1 (No. 31)
Inequivalent atoms, fractional coordinates:
1 Pr 0.000 0.128 0.000 [2 per cell]
2 Pr 0.250 0.124 0.334 [4 per cell]
3 Ho 0.000 0.378 0.503 [2 per cell]
4 Ho 0.000 0.623 0.001 [2 per cell]
5 Ho 0.244 0.623 0.339 [4 per cell]
6 Sc 0.000 0.868 0.497 [2 per cell]

Computed properties:
* electronic total energy: -4.84 eV per atom
* size of the total moment: 0.00 μB per atom
* E_form: 0.04 eV/atom
* energy above the most stable polymorph in this dataset: 0 meV/atom
* DOS at the Fermi energy: 27.8 states/eV per cell
* density: 7.22 g/cm3

***

3.
FeNiRh | PBE | optimized geometry

a = 2.829 Å, b = 3.808 Å, c = 4.075 Å
α = 90.00°, β = 90.00°, γ = 90.00°
Space group Pmmm (No. 47)
Inequivalent atoms, fractional coordinates:
1 Fe 0.000 0.000 0.000 [1 per cell]
2 Ni 0.500 0.500 0.000 [1 per cell]
3 Rh 0.500 0.000 0.500 [1 per cell]

Computed properties:
* electronic total energy: -6.73 eV per atom
* size of the total moment: 1.42 μB per atom
* E_form: 0.46 eV/atom
* energy above the most stable polymorph in this dataset: 468 meV/atom
* DOS at the Fermi energy: 3.7 states/eV per cell
* density: 8.23 g/cm3